Computed, not measured: a relaxed structure of LiSmErGa at the PBE level of DFT.

## Properties
energy of formation	-1.2	eV per formula unit
DOS(E_F)	3.70	states/eV/f.u.

Unit cell a=7.2506 b=7.2506 c=7.2506 alpha=90.00 beta=90.00 gamma=90.00
Last column: nearest neighbours and their distance in Å.
Space group F-43m (No. 216)
Asymmetric unit:
Li 0.0000 0.0000 0.0000 (multiplicity 4)  4 Er 3.14, 4 Sm 3.14
Sm 0.2500 0.2500 0.7500 (multiplicity 4)  4 Li 3.14, 4 Ga 3.14
Er 0.2500 0.2500 0.2500 (multiplicity 4)  4 Ga 3.14, 4 Li 3.14
Ga 0.0000 0.0000 0.5000 (multiplicity 4)  4 Sm 3.14, 4 Er 3.14